CaCeDy2Se4 | PBE | optimized geometry

Summary:
DOS at the Fermi energy (states/eV/cell): 8.24
Calculated volume (Å³ per cell): 200.30
Space-group type: P2/m, No. 10
Energy relative to the elements, uncorrected (meV per atom): -1823
M_tot (Bohr magnetons per cell): 1.1

a b c (Å): 7.154 4.115 7.204
angles (deg): 90.00 109.19 90.00
Sites, in units of the cell vectors:
Ca (0.000, 0.000, 0.000)
Ce (0.000, 0.500, 0.500)
Dy (0.500, 0.000, 0.500)
Dy (0.500, 0.500, 0.000)
Se (0.256, 0.500, 0.249)
Se (0.259, 0.000, 0.757)
Se (0.741, 0.000, 0.243)
Se (0.744, 0.500, 0.751)